Record 1
# Co2Ir PBE relaxed
# Magnetic moment in μB/atom: 1.528
# Formation energy in meV/atom: 97
# Electronic total energy in eV/cell: -182.25
data_Co2Ir
_cell_length_a 4.7085
_cell_length_b 4.7085
_cell_length_c 15.3445
_cell_angle_alpha 90.00
_cell_angle_beta 90.00
_cell_angle_gamma 120.00
_symmetry_space_group_name_H-M 'P 63/m m c'
_symmetry_Int_Tables_number 194
_symmetry_space_group_name_Hall '-P 6c 2c'
loop_
_atom_site_label
_atom_site_type_symbol
_atom_site_fract_x
_atom_site_fract_y
_atom_site_fract_z
Co1 Co 0.0000 0.5000 0.0000
Co2 Co 0.1615 0.3230 0.2500
Co3 Co 0.3333 0.6667 0.1271
Ir1 Ir 0.0000 0.0000 0.0913
Ir2 Ir 0.3333 0.6667 0.6562



Record 2
# Sc4AsS4 PBE relaxed
# Magnetic moment in μB/atom: 0.000
# Electronic total energy in eV/cell: -124.53
# ΔE_f (raw) in meV per atom: -1753
data_Sc4AsS4
_cell_length_a 8.357
_cell_length_b 8.357
_cell_length_c 5.234
_cell_angle_alpha 90.00
_cell_angle_beta 90.00
_cell_angle_gamma 90.00
_symmetry_space_group_name_H-M 'I 4/m'
_symmetry_Int_Tables_number 87
_symmetry_space_group_name_Hall '-I 4'
loop_
_atom_site_label
_atom_site_type_symbol
_atom_site_fract_x
_atom_site_fract_y
_atom_site_fract_z
Sc1 Sc 0.102 0.296 0.000
As1 As 0.000 0.000 0.000
S1 S 0.102 0.308 0.500



Record 3
# MnBeSiOs PBE relaxed
# Magnetic moment in μB/atom: 0.639
# Electronic total energy in eV/cell: -122.87
# ΔE_f (raw) in meV per atom: -292
data_MnBeSiOs
_cell_length_a 5.692
_cell_length_b 5.692
_cell_length_c 5.692
_cell_angle_alpha 90.00
_cell_angle_beta 90.00
_cell_angle_gamma 90.00
_symmetry_space_group_name_H-M 'F -4 3 m'
_symmetry_Int_Tables_number 216
_symmetry_space_group_name_Hall 'F -4 2 3'
loop_
_atom_site_label
_atom_site_type_symbol
_atom_site_fract_x
_atom_site_fract_y
_atom_site_fract_z
Mn1 Mn 0.000 0.000 0.000
Be1 Be 0.250 0.250 0.750
Si1 Si 0.250 0.250 0.250
Os1 Os 0.000 0.000 0.500



Record 4
# NpBiCl2F6 PBE relaxed
# Magnetic moment in μB/atom: 0.200
# Electronic total energy in eV/cell: -113.84
# ΔE_f (raw) in meV per atom: -2518
data_NpBiCl2F6
_cell_length_a 7.604
_cell_length_b 9.227
_cell_length_c 6.222
_cell_angle_alpha 90.00
_cell_angle_beta 90.00
_cell_angle_gamma 90.00
_symmetry_space_group_name_H-M 'P m m n'
_symmetry_Int_Tables_number 59
loop_
_symmetry_equiv_pos_as_xyz
'x,y,z'
'-x,-y,-z'
'-x+1/2,-y+1/2,z'
'x+1/2,y+1/2,-z'
'x+1/2,-y,-z'
'-x+1/2,y,z'
'-x,y+1/2,-z'
'x,-y+1/2,z'
loop_
_atom_site_label
_atom_site_type_symbol
_atom_site_fract_x
_atom_site_fract_y
_atom_site_fract_z
Np1 Np 0.250 0.250 0.222
Bi1 Bi 0.250 0.750 0.453
Cl1 Cl 0.250 0.554 0.721
F1 F 0.054 0.250 0.476
F2 F 0.059 0.250 0.992
F3 F 0.250 0.027 0.224



Record 5
# CrAsBr2 PBE relaxed
# Magnetic moment in μB/atom: 1.005
# Electronic total energy in eV/cell: -16.48
# ΔE_f (raw) in meV per atom: 285
data_CrAsBr2
_cell_length_a 3.440
_cell_length_b 4.384
_cell_length_c 6.208
_cell_angle_alpha 90.00
_cell_angle_beta 90.00
_cell_angle_gamma 90.00
_symmetry_space_group_name_H-M 'P m m m'
_symmetry_Int_Tables_number 47
loop_
_symmetry_equiv_pos_as_xyz
'x,y,z'
'-x,-y,-z'
'-x,-y,z'
'x,y,-z'
'x,-y,-z'
'-x,y,z'
'-x,y,-z'
'x,-y,z'
loop_
_atom_site_label
_atom_site_type_symbol
_atom_site_fract_x
_atom_site_fract_y
_atom_site_fract_z
Cr1 Cr 0.000 0.000 0.000
As1 As 0.500 0.000 0.500
Br1 Br 0.000 0.500 0.500
Br2 Br 0.500 0.500 0.000



Record 6
# BeSb2C PBE relaxed
# Magnetic moment in μB/atom: 0.000
# Electronic total energy in eV/cell: -60.30
# ΔE_f (raw) in meV per atom: 1530
data_BeSb2C
_cell_length_a 6.463
_cell_length_b 6.463
_cell_length_c 6.463
_cell_angle_alpha 90.00
_cell_angle_beta 90.00
_cell_angle_gamma 90.00
_symmetry_space_group_name_H-M 'F m -3 m'
_symmetry_Int_Tables_number 225
_symmetry_space_group_name_Hall '-F 4 2 3'
loop_
_atom_site_label
_atom_site_type_symbol
_atom_site_fract_x
_atom_site_fract_y
_atom_site_fract_z
Be1 Be 0.000 0.000 0.000
Sb1 Sb 0.250 0.250 0.250
C1 C 0.000 0.000 0.500



Record 7
# LaPm2Pd PBE relaxed
# Magnetic moment in μB/atom: 0.000
# Formation energy in meV/atom: -422
# Electronic total energy in eV/cell: -85.23
data_LaPm2Pd
_cell_length_a 7.272
_cell_length_b 10.122
_cell_length_c 6.664
_cell_angle_alpha 90.00
_cell_angle_beta 90.00
_cell_angle_gamma 90.00
_symmetry_space_group_name_H-M 'P n m a'
_symmetry_Int_Tables_number 62
loop_
_symmetry_equiv_pos_as_xyz
'x,y,z'
'-x,-y,-z'
'-x+1/2,-y,z+1/2'
'x+1/2,y,-z+1/2'
'x+1/2,-y+1/2,-z+1/2'
'-x+1/2,y+1/2,z+1/2'
'-x,y+1/2,-z'
'x,-y+1/2,z'
loop_
_atom_site_label
_atom_site_type_symbol
_atom_site_fract_x
_atom_site_fract_y
_atom_site_fract_z
La1 La 0.024 0.250 0.141
Pm1 Pm 0.178 0.061 0.668
Pd1 Pd 0.118 0.750 0.427



Record 8
# CaCrW2 PBE relaxed
# Magnetic moment in μB/atom: 0.312
# Formation energy in meV/atom: 874
# Electronic total energy in eV/cell: -68.07
data_CaCrW2
_cell_length_a 5.471
_cell_length_b 9.661
_cell_length_c 2.699
_cell_angle_alpha 90.00
_cell_angle_beta 106.24
_cell_angle_gamma 90.00
_symmetry_space_group_name_H-M 'C 1 2/m 1'
_symmetry_Int_Tables_number 12
loop_
_symmetry_equiv_pos_as_xyz
'x,y,z'
'-x,-y,-z'
'-x,y,-z'
'x,-y,z'
'x+1/2,y+1/2,z'
'-x+1/2,-y+1/2,-z'
'-x+1/2,y+1/2,-z'
'x+1/2,-y+1/2,z'
loop_
_atom_site_label
_atom_site_type_symbol
_atom_site_fract_x
_atom_site_fract_y
_atom_site_fract_z
Ca1 Ca 0.000 0.000 0.000
Cr1 Cr 0.000 0.500 0.000
W1 W 0.250 0.250 0.500



Record 9
# TlRe2Se PBE relaxed
# Magnetic moment in μB/atom: 0.000
# Electronic total energy in eV/cell: -51.66
# ΔE_f (raw) in meV per atom: 1229
data_TlRe2Se
_cell_length_a 5.704
_cell_length_b 10.057
_cell_length_c 2.947
_cell_angle_alpha 90.00
_cell_angle_beta 120.63
_cell_angle_gamma 90.00
_symmetry_space_group_name_H-M 'C 1 2/m 1'
_symmetry_Int_Tables_number 12
loop_
_symmetry_equiv_pos_as_xyz
'x,y,z'
'-x,-y,-z'
'-x,y,-z'
'x,-y,z'
'x+1/2,y+1/2,z'
'-x+1/2,-y+1/2,-z'
'-x+1/2,y+1/2,-z'
'x+1/2,-y+1/2,z'
loop_
_atom_site_label
_atom_site_type_symbol
_atom_site_fract_x
_atom_site_fract_y
_atom_site_fract_z
Tl1 Tl 0.000 0.000 0.000
Re1 Re 0.250 0.250 0.000
Se1 Se 0.000 0.500 0.000



Record 10
# BaSmSn PBE relaxed
# Magnetic moment in μB/atom: 0.311
# Formation energy in meV/atom: -566
# Electronic total energy in eV/cell: -24.69
data_BaSmSn
_cell_length_a 5.115
_cell_length_b 5.115
_cell_length_c 8.892
_cell_angle_alpha 90.00
_cell_angle_beta 90.00
_cell_angle_gamma 90.00
_symmetry_space_group_name_H-M 'P 4/n m m'
_symmetry_Int_Tables_number 129
loop_
_symmetry_equiv_pos_as_xyz
'x,y,z'
'-x,-y,-z'
'-y+1/2,x,z'
'y+1/2,-x,-z'
'-x+1/2,-y+1/2,z'
'x+1/2,y+1/2,-z'
'y,-x+1/2,z'
'-y,x+1/2,-z'
'x+1/2,-y,-z'
'-x+1/2,y,z'
'-y,-x,-z'
'y,x,z'
'-x,y+1/2,-z'
'x,-y+1/2,z'
'y+1/2,x+1/2,-z'
'-y+1/2,-x+1/2,z'
loop_
_atom_site_label
_atom_site_type_symbol
_atom_site_fract_x
_atom_site_fract_y
_atom_site_fract_z
Ba1 Ba 0.250 0.250 0.145
Sm1 Sm 0.250 0.750 0.500
Sn1 Sn 0.250 0.250 0.730



Record 11
# TlAsPb2 PBE relaxed
# Magnetic moment in μB/atom: 0.000
# Formation energy in meV/atom: 104
# Electronic total energy in eV/cell: -28.03
data_TlAsPb2
_cell_length_a 4.964
_cell_length_b 4.964
_cell_length_c 9.218
_cell_angle_alpha 90.00
_cell_angle_beta 90.00
_cell_angle_gamma 90.00
_symmetry_space_group_name_H-M 'I 4/m m m'
_symmetry_Int_Tables_number 139
_symmetry_space_group_name_Hall '-I 4 2'
loop_
_atom_site_label
_atom_site_type_symbol
_atom_site_fract_x
_atom_site_fract_y
_atom_site_fract_z
Tl1 Tl 0.000 0.000 0.000
As1 As 0.000 0.000 0.500
Pb1 Pb 0.000 0.500 0.250



Record 12
# Dy5Hg2Ir PBE relaxed
# Magnetic moment in μB/atom: 0.000
# Formation energy in meV/atom: -530
# Electronic total energy in eV/cell: -73.43
data_Dy5Hg2Ir
_cell_length_a 7.095
_cell_length_b 12.153
_cell_length_c 4.883
_cell_angle_alpha 90.00
_cell_angle_beta 90.00
_cell_angle_gamma 90.00
_symmetry_space_group_name_H-M 'P b a m'
_symmetry_Int_Tables_number 55
loop_
_symmetry_equiv_pos_as_xyz
'x,y,z'
'-x,-y,-z'
'-x,-y,z'
'x,y,-z'
'x+1/2,-y+1/2,-z'
'-x+1/2,y+1/2,z'
'-x+1/2,y+1/2,-z'
'x+1/2,-y+1/2,z'
loop_
_atom_site_label
_atom_site_type_symbol
_atom_site_fract_x
_atom_site_fract_y
_atom_site_fract_z
Dy1 Dy 0.000 0.000 0.000
Dy2 Dy 0.141 0.292 0.000
Dy3 Dy 0.175 0.585 0.500
Hg1 Hg 0.083 0.838 0.500
Ir1 Ir 0.000 0.500 0.000